No. 1
Density functional theory data (PBE-GGA) for crystalline ScTa2Co9 at its relaxed geometry.

Cell and atoms, written as POSCAR:
```
ScTa2Co9
1.0
-3.185 2.717 -2.245
-2.364 -1.715 -3.746
-7.439 -2.304 2.737
Sc Ta Co
1 2 9
Direct
0.000 0.000 0.000 Sc
0.860 0.860 0.419 Ta
0.140 0.140 0.581 Ta
0.665 0.665 0.005 Co
0.335 0.335 0.995 Co
0.500 0.500 0.500 Co
0.412 0.412 0.256 Co
0.920 0.412 0.256 Co
0.412 0.920 0.256 Co
0.588 0.588 0.744 Co
0.588 0.080 0.744 Co
0.080 0.588 0.744 Co
```

Summary:
- Size of the total moment: 0.658 μB per atom
- ΔH_f (0 K): -0.1821 eV/atom

=====

No. 2
Density functional theory data (PBE-GGA) for crystalline Sc2TaCo2 at its relaxed geometry.

Cell and atoms, written as POSCAR:
```
Sc2TaCo2
1.0
-0.961 -6.180 -0.651
4.172 -0.154 -4.702
3.132 -0.783 2.805
Sc Co Ta
4 4 2
Direct
0.178 0.678 0.500 Sc
0.678 0.822 0.500 Sc
0.822 0.322 0.500 Sc
0.322 0.178 0.500 Sc
0.372 0.872 0.000 Co
0.872 0.628 0.000 Co
0.628 0.128 0.000 Co
0.128 0.372 0.000 Co
0.000 0.000 0.000 Ta
0.500 0.500 0.000 Ta
```

Summary:
- Size of the total moment: 0.000 μB per atom
- ΔH_f (0 K): -0.2061 eV/atom
- E above lowest polymorph: 0.0427 eV/atom

=====

No. 3
Density functional theory data (PBE-GGA) for crystalline ScTaCoTc at its relaxed geometry.

Cell and atoms, written as POSCAR:
```
ScTaCoTc
1.0
4.450 0.000 0.000
2.225 3.853 0.000
2.225 1.284 3.633
Sc Co Tc Ta
1 1 1 1
Direct
0.000 0.000 0.000 Sc
0.250 0.250 0.250 Co
0.750 0.750 0.750 Tc
0.500 0.500 0.500 Ta
```

Summary:
- Size of the total moment: 0.000 μB per atom
- ΔH_f (0 K): -0.3358 eV/atom

=====

No. 4
Density functional theory data (PBE-GGA) for crystalline Tb2ScCo9 at its relaxed geometry.

Cell and atoms, written as POSCAR:
```
Tb2ScCo9
1.0
-0.715 4.807 0.678
-2.105 1.609 4.130
6.405 2.735 5.113
Tb Sc Co
2 1 9
Direct
0.861 0.861 0.416 Tb
0.139 0.139 0.584 Tb
0.000 0.000 0.000 Sc
0.666 0.666 0.003 Co
0.334 0.334 0.997 Co
0.500 0.500 0.500 Co
0.420 0.420 0.240 Co
0.921 0.420 0.240 Co
0.420 0.921 0.240 Co
0.580 0.580 0.760 Co
0.580 0.079 0.760 Co
0.079 0.580 0.760 Co
```

Summary:
- Size of the total moment: 0.871 μB per atom
- ΔH_f (0 K): -0.1599 eV/atom

=====

No. 5
Density functional theory data (PBE-GGA) for crystalline Tb3ScCo2 at its relaxed geometry.

Cell and atoms, written as POSCAR:
```
Tb3ScCo2
1.0
3.960 0.000 -1.146
-0.366 4.425 -1.265
0.070 -0.233 7.656
Tb Sc Co
3 1 2
Direct
0.500 0.500 0.000 Tb
0.811 0.312 0.622 Tb
0.189 0.688 0.378 Tb
0.000 0.000 0.000 Sc
0.378 0.876 0.755 Co
0.622 0.124 0.245 Co
```

Summary:
- Size of the total moment: 0.000 μB per atom
- ΔH_f (0 K): -0.0641 eV/atom

=====

No. 6
Density functional theory data (PBE-GGA) for crystalline Tb2Sc5Co2 at its relaxed geometry.

Cell and atoms, written as POSCAR:
```
Tb2Sc5Co2
1.0
-2.358 2.726 5.552
5.316 -2.073 3.275
3.220 9.378 0.709
Tb Sc Co
4 10 4
Direct
0.230 0.000 0.541 Tb
0.730 0.500 0.541 Tb
0.770 0.000 0.459 Tb
0.270 0.500 0.459 Tb
0.000 0.000 0.000 Sc
0.500 0.500 0.000 Sc
0.423 0.177 0.793 Sc
0.784 0.823 0.793 Sc
0.284 0.677 0.793 Sc
0.923 0.323 0.793 Sc
0.577 0.823 0.207 Sc
0.216 0.177 0.207 Sc
0.716 0.323 0.207 Sc
0.077 0.677 0.207 Sc
0.120 0.382 0.000 Co
0.880 0.618 0.000 Co
0.380 0.882 0.000 Co
0.620 0.118 0.000 Co
```

Summary:
- Size of the total moment: 0.000 μB per atom
- ΔH_f (0 K): -0.1208 eV/atom

=====

No. 7
Density functional theory data (PBE-GGA) for crystalline TbSc2Co at its relaxed geometry.

Cell and atoms, written as POSCAR:
```
TbSc2Co
1.0
3.350 0.000 0.000
1.675 2.901 0.000
1.675 0.967 9.867
Sc Co Tb
2 1 1
Direct
0.113 0.113 0.662 Sc
0.887 0.887 0.338 Sc
0.500 0.500 0.500 Co
0.000 0.000 0.000 Tb
```

Summary:
- Size of the total moment: 0.000 μB per atom
- ΔH_f (0 K): 0.1369 eV/atom
- E above lowest polymorph: 0.3293 eV/atom

=====

No. 8
Density functional theory data (PBE-GGA) for crystalline TbSc2Co at its relaxed geometry.

Cell and atoms, written as POSCAR:
```
TbSc2Co
1.0
-2.831 1.625 1.151
1.218 -4.375 3.970
5.065 5.575 4.590
Tb Sc Co
2 4 2
Direct
0.926 0.851 0.250 Tb
0.074 0.149 0.750 Tb
0.355 0.711 0.571 Sc
0.645 0.289 0.429 Sc
0.355 0.711 0.929 Sc
0.645 0.289 0.071 Sc
0.757 0.514 0.750 Co
0.243 0.486 0.250 Co
```

Summary:
- Size of the total moment: 0.000 μB per atom
- ΔH_f (0 K): -0.1767 eV/atom
- E above lowest polymorph: 0.0156 eV/atom

=====

No. 9
Density functional theory data (PBE-GGA) for crystalline TbSc2Co at its relaxed geometry.

Cell and atoms, written as POSCAR:
```
TbSc2Co
1.0
5.977 0.000 0.000
0.000 6.634 0.000
0.000 0.000 8.881
Tb Sc Co
4 8 4
Direct
0.631 0.537 0.250 Tb
0.869 0.037 0.250 Tb
0.369 0.463 0.750 Tb
0.131 0.963 0.750 Tb
0.172 0.672 0.067 Sc
0.328 0.172 0.433 Sc
0.828 0.328 0.567 Sc
0.672 0.828 0.933 Sc
0.828 0.328 0.933 Sc
0.672 0.828 0.567 Sc
0.172 0.672 0.433 Sc
0.328 0.172 0.067 Sc
0.070 0.389 0.250 Co
0.430 0.889 0.250 Co
0.930 0.611 0.750 Co
0.570 0.111 0.750 Co
```

Summary:
- Size of the total moment: 0.000 μB per atom
- ΔH_f (0 K): -0.1923 eV/atom
- E above lowest polymorph: 0.0000 eV/atom

=====

No. 10
Density functional theory data (PBE-GGA) for crystalline TbSc3Co8 at its relaxed geometry.

Cell and atoms, written as POSCAR:
```
TbSc3Co8
1.0
-1.967 -4.517 0.034
-0.736 -2.398 -4.240
6.478 -5.514 -0.868
Tb Sc Co
1 3 8
Direct
0.875 0.875 0.375 Tb
0.375 0.375 0.876 Sc
0.002 0.002 0.995 Sc
0.498 0.498 0.507 Sc
0.942 0.438 0.182 Co
0.432 0.937 0.693 Co
0.438 0.438 0.182 Co
0.937 0.937 0.693 Co
0.187 0.187 0.439 Co
0.688 0.688 0.937 Co
0.438 0.942 0.182 Co
0.937 0.432 0.693 Co
```

Summary:
- Size of the total moment: 0.610 μB per atom
- ΔH_f (0 K): -0.3009 eV/atom

=====

No. 11
Density functional theory data (PBE-GGA) for crystalline TbSc5Co4 at its relaxed geometry.

Cell and atoms, written as POSCAR:
```
TbSc5Co4
1.0
-2.576 -0.521 1.734
-0.634 -2.566 -1.712
9.617 -9.920 11.307
Tb Sc Co
1 5 4
Direct
0.000 0.000 0.000 Tb
0.500 0.500 0.154 Sc
0.500 0.500 0.326 Sc
0.500 0.500 0.500 Sc
0.500 0.500 0.674 Sc
0.500 0.500 0.846 Sc
0.000 0.000 0.236 Co
0.000 0.000 0.413 Co
0.000 0.000 0.587 Co
0.000 0.000 0.764 Co
```

Summary:
- Size of the total moment: 0.105 μB per atom
- ΔH_f (0 K): -0.2802 eV/atom

=====

No. 12
Density functional theory data (PBE-GGA) for crystalline TbSc2Co at its relaxed geometry.

Cell and atoms, written as POSCAR:
```
TbSc2Co
1.0
-3.205 -0.061 0.166
0.177 -0.959 3.058
-0.021 7.984 2.505
Sc Co Tb
2 1 1
Direct
0.000 0.000 0.821 Sc
0.000 0.000 0.179 Sc
0.500 0.500 0.000 Co
0.500 0.500 0.500 Tb
```

Summary:
- Size of the total moment: 0.127 μB per atom
- ΔH_f (0 K): -0.1392 eV/atom
- E above lowest polymorph: 0.0532 eV/atom

=====

No. 13
Density functional theory data (PBE-GGA) for crystalline TbSc6Co2 at its relaxed geometry.

Cell and atoms, written as POSCAR:
```
TbSc6Co2
1.0
7.561 0.379 -2.477
-4.233 6.411 -2.105
-0.019 -0.379 7.956
Tb Sc Co
2 12 4
Direct
0.000 0.500 0.500 Tb
0.000 0.000 0.000 Tb
0.479 0.287 0.191 Sc
0.521 0.713 0.809 Sc
0.904 0.713 0.191 Sc
0.096 0.287 0.809 Sc
0.229 0.761 0.990 Sc
0.771 0.239 0.010 Sc
0.771 0.761 0.533 Sc
0.229 0.239 0.467 Sc
0.307 0.992 0.685 Sc
0.693 0.008 0.315 Sc
0.693 0.377 0.685 Sc
0.307 0.623 0.315 Sc
0.500 0.382 0.882 Co
0.500 0.618 0.118 Co
0.334 0.000 0.334 Co
0.666 0.000 0.666 Co
```

Summary:
- Size of the total moment: 0.000 μB per atom
- ΔH_f (0 K): -0.0895 eV/atom

=====

No. 14
Density functional theory data (PBE-GGA) for crystalline Tb2ScCo2 at its relaxed geometry.

Cell and atoms, written as POSCAR:
```
Tb2ScCo2
1.0
0.692 3.862 -0.060
-1.716 2.381 4.898
3.878 1.363 3.963
Tb Sc Co
2 1 2
Direct
0.300 0.200 0.700 Tb
0.700 0.800 0.300 Tb
0.500 0.500 0.000 Sc
0.000 0.205 0.295 Co
0.000 0.795 0.705 Co
```

Summary:
- Size of the total moment: 0.000 μB per atom
- ΔH_f (0 K): -0.2069 eV/atom

=====

No. 15
Density functional theory data (PBE-GGA) for crystalline TbSc4Co2 at its relaxed geometry.

Cell and atoms, written as POSCAR:
```
TbSc4Co2
1.0
-3.508 1.188 -4.576
1.657 -6.821 -3.041
-5.619 -0.081 4.286
Tb Sc Co
2 8 4
Direct
0.250 0.837 0.987 Tb
0.750 0.163 0.013 Tb
0.500 0.417 0.756 Sc
0.250 0.262 0.332 Sc
0.750 0.738 0.668 Sc
0.000 0.417 0.756 Sc
0.750 0.014 0.384 Sc
0.000 0.583 0.244 Sc
0.500 0.583 0.244 Sc
0.250 0.986 0.616 Sc
0.250 0.274 0.979 Co
0.750 0.726 0.021 Co
0.750 0.370 0.419 Co
0.250 0.630 0.581 Co
```

Summary:
- Size of the total moment: 0.000 μB per atom
- ΔH_f (0 K): -0.1481 eV/atom

=====

No. 16
Density functional theory data (PBE-GGA) for crystalline TbSc12Co5 at its relaxed geometry.

Cell and atoms, written as POSCAR:
```
TbSc12Co5
1.0
-3.084 3.509 -6.238
-5.240 -4.078 4.080
2.769 5.124 5.178
Tb Sc Co
1 12 5
Direct
0.000 0.500 0.500 Tb
0.547 0.821 0.726 Sc
0.453 0.179 0.274 Sc
0.905 0.179 0.726 Sc
0.095 0.821 0.274 Sc
0.685 0.685 0.369 Sc
0.315 0.315 0.631 Sc
0.315 0.685 0.000 Sc
0.685 0.315 0.000 Sc
0.810 0.591 0.781 Sc
0.190 0.409 0.219 Sc
0.190 0.971 0.781 Sc
0.810 0.029 0.219 Sc
0.653 0.653 0.000 Co
0.347 0.347 0.000 Co
0.500 0.118 0.618 Co
0.500 0.882 0.382 Co
0.000 0.000 0.000 Co
```

Summary:
- Size of the total moment: 0.000 μB per atom
- ΔH_f (0 K): -0.1791 eV/atom

=====

No. 17
Density functional theory data (PBE-GGA) for crystalline TbScCo10 at its relaxed geometry.

Cell and atoms, written as POSCAR:
```
TbScCo10
1.0
-1.316 3.147 2.020
-4.476 -1.841 -0.048
1.565 -3.993 7.240
Tb Sc Co
1 1 10
Direct
0.000 0.000 0.000 Tb
0.000 0.500 0.500 Sc
0.000 0.000 0.342 Co
0.000 0.500 0.817 Co
0.000 0.500 0.183 Co
0.000 0.000 0.658 Co
0.500 0.000 0.500 Co
0.500 0.500 0.000 Co
0.500 0.251 0.254 Co
0.500 0.749 0.746 Co
0.500 0.749 0.254 Co
0.500 0.251 0.746 Co
```

Summary:
- Size of the total moment: 1.194 μB per atom
- ΔH_f (0 K): -0.1068 eV/atom

=====

No. 18
Density functional theory data (PBE-GGA) for crystalline TbSc4Co5 at its relaxed geometry.

Cell and atoms, written as POSCAR:
```
TbSc4Co5
1.0
-0.094 2.621 -1.775
1.029 -1.654 -2.497
-14.994 -3.259 -4.022
Tb Sc Co
1 4 5
Direct
0.000 0.000 0.000 Tb
0.000 0.000 0.207 Sc
0.000 0.000 0.402 Sc
0.000 0.000 0.598 Sc
0.000 0.000 0.793 Sc
0.500 0.500 0.113 Co
0.500 0.500 0.305 Co
0.500 0.500 0.500 Co
0.500 0.500 0.695 Co
0.500 0.500 0.887 Co
```

Summary:
- Size of the total moment: 0.120 μB per atom
- ΔH_f (0 K): -0.2876 eV/atom

=====

No. 19
Density functional theory data (PBE-GGA) for crystalline Tb3ScCo at its relaxed geometry.

Cell and atoms, written as POSCAR:
```
Tb3ScCo
1.0
5.231 0.000 0.000
0.000 5.231 0.000
0.000 0.000 5.231
Sc Co Tb
1 1 3
Direct
0.500 0.500 0.500 Sc
0.000 0.000 0.000 Co
0.000 0.500 0.000 Tb
0.000 0.000 0.500 Tb
0.500 0.000 0.000 Tb
```

Summary:
- Size of the total moment: 0.238 μB per atom
- ΔH_f (0 K): 0.0762 eV/atom

=====

No. 20
Density functional theory data (PBE-GGA) for crystalline TbSc2Co at its relaxed geometry.

Cell and atoms, written as POSCAR:
```
TbSc2Co
1.0
3.641 0.000 0.000
1.820 3.153 0.000
1.820 1.051 8.195
Tb Sc Co
1 2 1
Direct
0.501 0.501 0.496 Tb
0.054 0.054 0.837 Sc
0.278 0.278 0.167 Sc
0.667 0.667 0.000 Co
```

Summary:
- Size of the total moment: 0.000 μB per atom
- ΔH_f (0 K): -0.0253 eV/atom
- E above lowest polymorph: 0.1670 eV/atom